TlVSe2O8, optimized geometry, DFT PBE with a Hubbard U; final energy = -0.41945 Ry/atom; M_tot = 2.00 μB/f.u.; ρ = 4.46 g/cm³; D(E_F) = 0.0000 states/eV per atom
1.0
5.148 -0.088 0.052
2.297 4.608 0.052
0.421 0.256 8.433
Tl V Se O
1 1 2 8
Direct
0.000 0.000 0.500 Tl
0.000 0.000 0.000 V
0.631 0.631 0.192 Se
0.369 0.369 0.808 Se
0.731 0.239 0.826 O
0.765 0.765 0.041 O
0.690 0.690 0.372 O
0.310 0.310 0.628 O
0.235 0.235 0.959 O
0.239 0.731 0.826 O
0.761 0.269 0.174 O
0.269 0.761 0.174 O